1.
# ZrTlCd2 (PBE-GGA, optimized geometry)
data_ZrTlCd2
_symmetry_space_group_name_H-M 'P 1'
_symmetry_Int_Tables_number 1
_symmetry_space_group_name_Hall 'P 1'
_cell_length_a 3.175
_cell_length_b 4.456
_cell_length_c 6.542
_cell_angle_alpha 90.00
_cell_angle_beta 90.00
_cell_angle_gamma 90.00
loop_
_atom_site_label
_atom_site_type_symbol
_atom_site_fract_x
_atom_site_fract_y
_atom_site_fract_z
Cd1 Cd 0.000 0.000 0.002
Cd2 Cd 0.500 0.500 0.234
Tl1 Tl 0.000 0.000 0.514
Zr1 Zr 0.500 0.500 0.750
# **Space-group type**: Pmm2
# **Excess energy over the best structure of this formula in the dataset**: 162 meV/atom
# **Energy of formation from the pure elements**: 0.07 eV/atom
# **DFT total energy**: -3.120 eV/atom



2.
# Zr4TlCd2 (PBE-GGA, optimized geometry)
data_Zr4TlCd2
_symmetry_space_group_name_H-M 'P 1'
_symmetry_Int_Tables_number 1
_symmetry_space_group_name_Hall 'P 1'
_cell_length_a 10.174
_cell_length_b 5.860
_cell_length_c 8.029
_cell_angle_alpha 136.60
_cell_angle_beta 90.00
_cell_angle_gamma 90.00
loop_
_atom_site_label
_atom_site_type_symbol
_atom_site_fract_x
_atom_site_fract_y
_atom_site_fract_z
Zr1 Zr 0.750 0.751 0.001
Zr2 Zr 0.805 0.501 0.501
Zr3 Zr 0.695 0.001 0.501
Zr4 Zr 0.750 0.251 0.001
Zr5 Zr 0.250 0.749 0.999
Zr6 Zr 0.305 0.999 0.499
Zr7 Zr 0.195 0.499 0.499
Zr8 Zr 0.250 0.249 0.999
Tl1 Tl 0.000 0.000 0.000
Tl2 Tl 0.500 0.500 0.000
Cd1 Cd 0.000 0.755 0.257
Cd2 Cd 0.000 0.245 0.743
Cd3 Cd 0.500 0.745 0.743
Cd4 Cd 0.500 0.255 0.257
# **Space-group type**: C2/m
# **Energy of formation from the pure elements**: 0.10 eV/atom
# **DFT total energy**: -5.381 eV/atom



3.
# Zr5TlCd4 (PBE-GGA, optimized geometry)
data_Zr5TlCd4
_symmetry_space_group_name_H-M 'P 1'
_symmetry_Int_Tables_number 1
_symmetry_space_group_name_Hall 'P 1'
_cell_length_a 3.181
_cell_length_b 3.181
_cell_length_c 21.680
_cell_angle_alpha 90.00
_cell_angle_beta 90.00
_cell_angle_gamma 90.00
loop_
_atom_site_label
_atom_site_type_symbol
_atom_site_fract_x
_atom_site_fract_y
_atom_site_fract_z
Zr1 Zr 0.500 0.500 0.102
Zr2 Zr 0.500 0.500 0.301
Zr3 Zr 0.500 0.500 0.500
Zr4 Zr 0.500 0.500 0.699
Zr5 Zr 0.500 0.500 0.898
Tl1 Tl 0.000 0.000 0.000
Cd1 Cd 0.000 0.000 0.202
Cd2 Cd 0.000 0.000 0.401
Cd3 Cd 0.000 0.000 0.599
Cd4 Cd 0.000 0.000 0.798
# **Space-group type**: P4/mmm
# **Energy of formation from the pure elements**: -0.09 eV/atom
# **DFT total energy**: -4.971 eV/atom



4.
# ZrTlCd2 (PBE-GGA, optimized geometry)
data_ZrTlCd2
_symmetry_space_group_name_H-M 'P 1'
_symmetry_Int_Tables_number 1
_symmetry_space_group_name_Hall 'P 1'
_cell_length_a 4.642
_cell_length_b 3.197
_cell_length_c 6.326
_cell_angle_alpha 79.77
_cell_angle_beta 90.00
_cell_angle_gamma 90.00
loop_
_atom_site_label
_atom_site_type_symbol
_atom_site_fract_x
_atom_site_fract_y
_atom_site_fract_z
Cd1 Cd 0.000 0.065 0.012
Cd2 Cd 0.500 0.413 0.226
Tl1 Tl 0.000 0.301 0.526
Zr1 Zr 0.500 0.721 0.736
# **Space-group type**: Pm
# **Excess energy over the best structure of this formula in the dataset**: 133 meV/atom
# **Energy of formation from the pure elements**: 0.04 eV/atom
# **DFT total energy**: -3.148 eV/atom



5.
# ZrTl2Cd (PBE-GGA, optimized geometry)
data_ZrTl2Cd
_symmetry_space_group_name_H-M 'P 1'
_symmetry_Int_Tables_number 1
_symmetry_space_group_name_Hall 'P 1'
_cell_length_a 3.363
_cell_length_b 4.421
_cell_length_c 6.540
_cell_angle_alpha 90.00
_cell_angle_beta 90.00
_cell_angle_gamma 90.00
loop_
_atom_site_label
_atom_site_type_symbol
_atom_site_fract_x
_atom_site_fract_y
_atom_site_fract_z
Cd1 Cd 0.500 0.500 0.750
Tl1 Tl 0.000 0.000 0.008
Tl2 Tl 0.000 0.000 0.492
Zr1 Zr 0.500 0.500 0.250
# **Space-group type**: Pmmm
# **Excess energy over the best structure of this formula in the dataset**: 124 meV/atom
# **Energy of formation from the pure elements**: 0.12 eV/atom
# **DFT total energy**: -3.429 eV/atom



6.
# Zr2TlCd2 (PBE-GGA, optimized geometry)
data_Zr2TlCd2
_symmetry_space_group_name_H-M 'P 1'
_symmetry_Int_Tables_number 1
_symmetry_space_group_name_Hall 'P 1'
_cell_length_a 8.093
_cell_length_b 8.093
_cell_length_c 3.505
_cell_angle_alpha 90.00
_cell_angle_beta 90.00
_cell_angle_gamma 90.00
loop_
_atom_site_label
_atom_site_type_symbol
_atom_site_fract_x
_atom_site_fract_y
_atom_site_fract_z
Tl1 Tl 0.000 0.000 0.000
Tl2 Tl 0.500 0.500 0.000
Zr1 Zr 0.176 0.676 0.500
Zr2 Zr 0.676 0.824 0.500
Zr3 Zr 0.824 0.324 0.500
Zr4 Zr 0.324 0.176 0.500
Cd1 Cd 0.378 0.878 0.000
Cd2 Cd 0.878 0.622 0.000
Cd3 Cd 0.622 0.122 0.000
Cd4 Cd 0.122 0.378 0.000
# **Space-group type**: P4/mbm
# **Excess energy over the best structure of this formula in the dataset**: 144 meV/atom
# **Energy of formation from the pure elements**: 0.10 eV/atom
# **DFT total energy**: -4.159 eV/atom



7.
# ZrTlCd2 (PBE-GGA, optimized geometry)
data_ZrTlCd2
_symmetry_space_group_name_H-M 'P 1'
_symmetry_Int_Tables_number 1
_symmetry_space_group_name_Hall 'P 1'
_cell_length_a 4.407
_cell_length_b 4.407
_cell_length_c 4.577
_cell_angle_alpha 90.00
_cell_angle_beta 90.00
_cell_angle_gamma 90.00
loop_
_atom_site_label
_atom_site_type_symbol
_atom_site_fract_x
_atom_site_fract_y
_atom_site_fract_z
Tl1 Tl 0.500 0.000 0.500
Zr1 Zr 0.000 0.500 0.500
Cd1 Cd 0.000 0.000 0.000
Cd2 Cd 0.500 0.500 0.000
# **Space-group type**: P4/mmm
# **Excess energy over the best structure of this formula in the dataset**: 0 meV/atom
# **Energy of formation from the pure elements**: -0.10 eV/atom
# **DFT total energy**: -3.281 eV/atom



8.
# Zr4Tl2Cd (PBE-GGA, optimized geometry)
data_Zr4Tl2Cd
_symmetry_space_group_name_H-M 'P 1'
_symmetry_Int_Tables_number 1
_symmetry_space_group_name_Hall 'P 1'
_cell_length_a 10.910
_cell_length_b 6.011
_cell_length_c 6.062
_cell_angle_alpha 119.72
_cell_angle_beta 90.00
_cell_angle_gamma 90.00
loop_
_atom_site_label
_atom_site_type_symbol
_atom_site_fract_x
_atom_site_fract_y
_atom_site_fract_z
Zr1 Zr 0.788 0.501 0.000
Zr2 Zr 0.750 0.501 0.500
Zr3 Zr 0.750 0.001 0.500
Zr4 Zr 0.712 0.001 0.000
Zr5 Zr 0.288 0.999 0.000
Zr6 Zr 0.250 0.999 0.500
Zr7 Zr 0.250 0.499 0.500
Zr8 Zr 0.212 0.499 0.000
Tl1 Tl 0.000 0.690 0.381
Tl2 Tl 0.000 0.310 0.619
Tl3 Tl 0.500 0.810 0.619
Tl4 Tl 0.500 0.190 0.381
Cd1 Cd 0.000 0.000 0.000
Cd2 Cd 0.500 0.500 0.000
# **Space-group type**: Fmmm
# **Energy of formation from the pure elements**: 0.18 eV/atom
# **DFT total energy**: -5.514 eV/atom



9.
# ZrTl2Cd (PBE-GGA, optimized geometry)
data_ZrTl2Cd
_symmetry_space_group_name_H-M 'P 1'
_symmetry_Int_Tables_number 1
_symmetry_space_group_name_Hall 'P 1'
_cell_length_a 5.956
_cell_length_b 5.956
_cell_length_c 5.956
_cell_angle_alpha 137.44
_cell_angle_beta 137.44
_cell_angle_gamma 61.77
loop_
_atom_site_label
_atom_site_type_symbol
_atom_site_fract_x
_atom_site_fract_y
_atom_site_fract_z
Cd1 Cd 0.750 0.250 0.500
Tl1 Tl 0.000 0.000 0.000
Tl2 Tl 0.250 0.750 0.500
Zr1 Zr 0.500 0.500 0.000
# **Space-group type**: I-4m2
# **Excess energy over the best structure of this formula in the dataset**: 66 meV/atom
# **Energy of formation from the pure elements**: 0.06 eV/atom
# **DFT total energy**: -3.488 eV/atom



10.
# ZrTlCd2 (PBE-GGA, optimized geometry)
data_ZrTlCd2
_symmetry_space_group_name_H-M 'P 1'
_symmetry_Int_Tables_number 1
_symmetry_space_group_name_Hall 'P 1'
_cell_length_a 5.642
_cell_length_b 5.642
_cell_length_c 3.212
_cell_angle_alpha 90.00
_cell_angle_beta 90.00
_cell_angle_gamma 113.74
loop_
_atom_site_label
_atom_site_type_symbol
_atom_site_fract_x
_atom_site_fract_y
_atom_site_fract_z
Cd1 Cd 0.000 0.000 0.000
Cd2 Cd 0.500 0.500 0.000
Tl1 Tl 0.500 0.000 0.500
Zr1 Zr 0.000 0.500 0.500
# **Space-group type**: Cmmm
# **Excess energy over the best structure of this formula in the dataset**: 101 meV/atom
# **Energy of formation from the pure elements**: 0.01 eV/atom
# **DFT total energy**: -3.180 eV/atom



11.
# ZrTl2Cd (PBE-GGA, optimized geometry)
data_ZrTl2Cd
_symmetry_space_group_name_H-M 'P 1'
_symmetry_Int_Tables_number 1
_symmetry_space_group_name_Hall 'P 1'
_cell_length_a 5.173
_cell_length_b 5.173
_cell_length_c 5.173
_cell_angle_alpha 60.00
_cell_angle_beta 60.00
_cell_angle_gamma 60.00
loop_
_atom_site_label
_atom_site_type_symbol
_atom_site_fract_x
_atom_site_fract_y
_atom_site_fract_z
Tl1 Tl 0.250 0.250 0.250
Tl2 Tl 0.750 0.750 0.750
Zr1 Zr 0.000 0.000 0.000
Cd1 Cd 0.500 0.500 0.500
# **Space-group type**: Fm-3m
# **Excess energy over the best structure of this formula in the dataset**: 271 meV/atom
# **Energy of formation from the pure elements**: 0.27 eV/atom
# **DFT total energy**: -3.283 eV/atom



12.
# ZrTl2Cd (PBE-GGA, optimized geometry)
data_ZrTl2Cd
_symmetry_space_group_name_H-M 'P 1'
_symmetry_Int_Tables_number 1
_symmetry_space_group_name_Hall 'P 1'
_cell_length_a 3.283
_cell_length_b 3.283
_cell_length_c 9.489
_cell_angle_alpha 90.00
_cell_angle_beta 90.00
_cell_angle_gamma 90.00
loop_
_atom_site_label
_atom_site_type_symbol
_atom_site_fract_x
_atom_site_fract_y
_atom_site_fract_z
Cd1 Cd 0.500 0.500 0.723
Tl1 Tl 0.000 0.000 0.992
Tl2 Tl 0.500 0.500 0.279
Zr1 Zr 0.000 0.000 0.506
# **Space-group type**: P4mm
# **Excess energy over the best structure of this formula in the dataset**: 63 meV/atom
# **Energy of formation from the pure elements**: 0.06 eV/atom
# **DFT total energy**: -3.491 eV/atom